# 1
DFT (PBE) results for an optimized crystal structure of CaPm5Ru2.

The space group is Immm (No. 71) and the conventional cell measures 4.3042, 7.4440 and 15.6318 Å, with angles of 90.00, 90.00 and 90.00 degrees. The asymmetric unit holds Ca at (0.0000, 0.0000, 0.0000), Pm at (0.0000, 0.2460, 0.3391), Pm at (0.0000, 0.5000, 0.0000) and Ru at (0.0000, 0.5000, 0.1832).

Its total energy is -5.6514 eV/atom. The value obtained for the formation energy is -0.113 eV per atom.

# 2
DFT (PBE) results for an optimized crystal structure of CaPm3Ru.

The space group is P2_1/c (No. 14) and the conventional cell measures 8.2284, 8.0315 and 10.2768 Å, with angles of 90.00, 106.64 and 90.00 degrees. The asymmetric unit holds Ca at (0.1635, 0.0966, 0.2340), Pm at (0.1323, 0.6780, 0.0471), Pm at (0.2871, 0.0089, 0.9037), Pm at (0.4728, 0.1295, 0.6322) and Ru at (0.4698, 0.7488, 0.1024).

Its total energy is -5.1485 eV/atom. The value obtained for the formation energy is -0.043 eV per atom.

# 3
DFT (PBE) results for an optimized crystal structure of CaPm7Ru2.

The space group is Cmmm (No. 65) and the conventional cell measures 8.9100, 14.3233 and 5.5536 Å, with angles of 90.00, 90.00 and 90.00 degrees. The asymmetric unit holds Ca at (0.0000, 0.0000, 0.0000), Pm at (0.0000, 0.2991, 0.0000), Pm at (0.0000, 0.5000, 0.5000), Pm at (0.1929, 0.1358, 0.5000) and Ru at (0.0000, 0.2952, 0.5000).

Its total energy is -5.3629 eV/atom. The value obtained for the formation energy is 0.018 eV per atom.

# 4
DFT (PBE) results for an optimized crystal structure of CaPm3Ru.

The space group is Pm-3m (No. 221) and the conventional cell measures 5.5632, 5.5632 and 5.5632 Å, with angles of 90.00, 90.00 and 90.00 degrees. The asymmetric unit holds Ca at (0.0000, 0.0000, 0.0000), Pm at (0.0000, 0.5000, 0.5000) and Ru at (0.5000, 0.5000, 0.5000).

Its total energy is -5.1910 eV/atom. The value obtained for the formation energy is -0.085 eV per atom.

# 5
DFT (PBE) results for an optimized crystal structure of CaPm4Ru2.

The space group is Cc (No. 9) and the conventional cell measures 9.2436, 16.2617 and 6.5327 Å, with angles of 90.00, 123.10 and 90.00 degrees. The asymmetric unit holds Ca at (0.0000, 0.1441, 0.0000), Pm at (0.0210, 0.3578, 0.0116), Pm at (0.1019, 0.2577, 0.5615), Pm at (0.3088, 0.0645, 0.8941), Pm at (0.3297, 0.4342, 0.8627), Ru at (0.0719, 0.4894, 0.3591) and Ru at (0.2989, 0.2497, 0.0499).

Its total energy is -5.7921 eV/atom. The value obtained for the formation energy is -0.141 eV per atom.

# 6
DFT (PBE) results for an optimized crystal structure of CaPmSnRu.

The space group is F-43m (No. 216) and the conventional cell measures 7.0677, 7.0677 and 7.0677 Å, with angles of 90.00, 90.00 and 90.00 degrees. The asymmetric unit holds Ca at (0.0000, 0.0000, 0.0000), Pm at (0.2500, 0.2500, 0.2500), Sn at (0.2500, 0.2500, 0.7500) and Ru at (0.0000, 0.0000, 0.5000).

Its total energy is -5.2552 eV/atom. The value obtained for the formation energy is -0.247 eV per atom.

# 7
DFT (PBE) results for an optimized crystal structure of CaTbPmRu.

The space group is F-43m (No. 216) and the conventional cell measures 7.3804, 7.3804 and 7.3804 Å, with angles of 90.00, 90.00 and 90.00 degrees. The asymmetric unit holds Ca at (0.0000, 0.0000, 0.0000), Tb at (0.2500, 0.2500, 0.7500), Pm at (0.2500, 0.2500, 0.2500) and Ru at (0.0000, 0.0000, 0.5000).

Its total energy is -5.0762 eV/atom. The value obtained for the formation energy is 0.088 eV per atom.

# 8
DFT (PBE) results for an optimized crystal structure of CaPmZnRu.

The space group is F-43m (No. 216) and the conventional cell measures 7.0785, 7.0785 and 7.0785 Å, with angles of 90.00, 90.00 and 90.00 degrees. The asymmetric unit holds Ca at (0.0000, 0.0000, 0.0000), Pm at (0.0000, 0.0000, 0.5000), Zn at (0.2500, 0.2500, 0.2500) and Ru at (0.2500, 0.2500, 0.7500).

Its total energy is -4.4144 eV/atom. The value obtained for the formation energy is -0.089 eV per atom.

# 9
DFT (PBE) results for an optimized crystal structure of CaPmS.

The space group is P-6m2 (No. 187) and the conventional cell measures 3.8303, 3.8303 and 13.6551 Å, with angles of 90.00, 90.00 and 120.00 degrees. The asymmetric unit holds Ca at (0.0000, 0.0000, 0.2313), Pm at (0.0000, 0.0000, 0.5000), Pm at (0.6667, 0.3333, 0.0000) and S at (0.6667, 0.3333, 0.3641).

Its total energy is -4.8449 eV/atom.

# 10
DFT (PBE) results for an optimized crystal structure of CaPm4S6.

The space group is Cmcm (No. 63) and the conventional cell measures 3.9846, 13.3244 and 20.4636 Å, with angles of 90.00, 90.00 and 90.00 degrees. The asymmetric unit holds Ca at (0.0000, 0.1567, 0.2500), Pm at (0.0000, 0.0937, 0.6327), Pm at (0.0000, 0.3627, 0.5420), S at (0.0000, 0.0000, 0.0000), S at (0.0000, 0.1953, 0.7500), S at (0.0000, 0.2715, 0.0869) and S at (0.0000, 0.4537, 0.6661).

Its total energy is -6.2013 eV/atom.

# 11
DFT (PBE) results for an optimized crystal structure of CaPmS2.

The space group is P6_3/mmc (No. 194) and the conventional cell measures 3.9738, 3.9738 and 13.6652 Å, with angles of 90.00, 90.00 and 120.00 degrees. The asymmetric unit holds Ca at (0.3333, 0.6667, 0.2500), Pm at (0.0000, 0.0000, 0.0000) and S at (0.3333, 0.6667, 0.6239).

Its total energy is -5.7639 eV/atom.

# 12
DFT (PBE) results for an optimized crystal structure of Ca2PmS4.

The space group is Cmcm (No. 63) and the conventional cell measures 3.9993, 13.6534 and 12.5062 Å, with angles of 90.00, 90.00 and 90.00 degrees. The asymmetric unit holds Ca at (0.0000, 0.1282, 0.0659), Pm at (0.0000, 0.3917, 0.2500), S at (0.0000, 0.0275, 0.2500), S at (0.0000, 0.2281, 0.6347) and S at (0.0000, 0.5000, 0.0000).

Its total energy is -5.3940 eV/atom.

# 13
DFT (PBE) results for an optimized crystal structure of CaPm4S7.

The space group is Cm (No. 8) and the conventional cell measures 13.2122, 3.9511 and 11.8621 Å, with angles of 90.00, 105.12 and 90.00 degrees. The asymmetric unit holds Ca at (0.0000, 0.0000, 0.0000), Pm at (0.1213, 0.0000, 0.4187), Pm at (0.2284, 0.0000, 0.8479), Pm at (0.3151, 0.5000, 0.2281), Pm at (0.4276, 0.0000, 0.6235), S at (0.0766, 0.0000, 0.6340), S at (0.1039, 0.5000, 0.9039), S at (0.1617, 0.0000, 0.2039), S at (0.2805, 0.5000, 0.4736), S at (0.3514, 0.5000, 0.7725), S at (0.3742, 0.0000, 0.0710) and S at (0.4620, 0.0000, 0.3734).

Its total energy is -6.2124 eV/atom.

# 14
DFT (PBE) results for an optimized crystal structure of CaPm2S4.

The space group is I4_1/amd (No. 141, origin choice 2) and the conventional cell measures 8.3183, 8.3183 and 11.7337 Å, with angles of 90.00, 90.00 and 90.00 degrees. The asymmetric unit holds Ca at (0.0000, 0.2500, 0.3750), Pm at (0.0000, 0.0000, 0.0000) and S at (0.0000, 0.0195, 0.7592).

Its total energy is -6.0367 eV/atom.

# 15
DFT (PBE) results for an optimized crystal structure of CaPmS2.

The space group is R3m (No. 160, hexagonal axes) and the conventional cell measures 3.9419, 3.9419 and 21.0351 Å, with angles of 90.00, 90.00 and 120.00 degrees. The asymmetric unit holds Ca at (0.0000, 0.0000, 0.0000), Pm at (0.0000, 0.0000, 0.8261), S at (0.0000, 0.0000, 0.2443) and S at (0.0000, 0.0000, 0.4120).

Its total energy is -5.7113 eV/atom.

# 16
DFT (PBE) results for an optimized crystal structure of Ca3Pm5S8.

The space group is R-3m (No. 166, hexagonal axes) and the conventional cell measures 8.0330, 8.0330 and 19.8784 Å, with angles of 90.00, 90.00 and 120.00 degrees. The asymmetric unit holds Ca at (0.0000, 0.5000, 0.0000), Pm at (0.0000, 0.0000, 0.0000), Pm at (0.0000, 0.0000, 0.5000), Pm at (0.0000, 0.5000, 0.5000), S at (0.0000, 0.0000, 0.2513) and S at (0.0026, 0.5013, 0.2513).

Its total energy is -5.9768 eV/atom.

# 17
DFT (PBE) results for an optimized crystal structure of CaPm2S3.

The space group is C2/m (No. 12) and the conventional cell measures 12.8159, 5.6919 and 4.0013 Å, with angles of 90.00, 108.11 and 90.00 degrees. The asymmetric unit holds Ca at (0.0000, 0.0000, 0.0000), Pm at (0.1667, 0.5000, 0.6679), S at (0.0000, 0.5000, 0.0000) and S at (0.1629, 0.0000, 0.6620).

Its total energy is -6.0373 eV/atom.

# 18
DFT (PBE) results for an optimized crystal structure of CaPmS2.

The space group is C2/m (No. 12) and the conventional cell measures 6.9278, 3.9989 and 7.0673 Å, with angles of 90.00, 108.99 and 90.00 degrees. The asymmetric unit holds Ca at (0.0000, 0.0000, 0.0000), Pm at (0.0000, 0.5000, 0.5000) and S at (0.2485, 0.5000, 0.2457).

Its total energy is -5.8160 eV/atom.

# 19
DFT (PBE) results for an optimized crystal structure of Ca4Pm3S8.

The space group is C2/m (No. 12) and the conventional cell measures 11.3520, 11.3971 and 8.0659 Å, with angles of 90.00, 134.72 and 90.00 degrees. The asymmetric unit holds Ca at (0.0000, 0.0000, 0.0000), Ca at (0.0000, 0.5000, 0.5000), Ca at (0.2500, 0.2500, 0.0000), Pm at (0.0000, 0.5000, 0.0000), Pm at (0.2500, 0.2500, 0.5000), S at (0.0000, 0.2495, 0.0000), S at (0.0000, 0.2534, 0.5000), S at (0.2419, 0.5000, 0.9886) and S at (0.2475, 0.5000, 0.4988).

Its total energy is -5.7531 eV/atom.

# 20
DFT (PBE) results for an optimized crystal structure of Ca6PmS8.

The space group is Fm-3m (No. 225) and the conventional cell measures 11.4529, 11.4529 and 11.4529 Å, with angles of 90.00, 90.00 and 90.00 degrees. The asymmetric unit holds Ca at (0.0000, 0.2500, 0.2500), Pm at (0.0000, 0.0000, 0.0000), S at (0.0000, 0.0000, 0.2437) and S at (0.2500, 0.2500, 0.2500).

Its total energy is -5.2876 eV/atom.

# 21
DFT (PBE) results for an optimized crystal structure of CaPm2S4.

The space group is I-42d (No. 122) and the conventional cell measures 8.5181, 8.5181 and 8.5719 Å, with angles of 90.00, 90.00 and 90.00 degrees. The asymmetric unit holds Ca at (0.0000, 0.0000, 0.0000), Pm at (0.1288, 0.7500, 0.6250) and S at (0.0735, 0.6785, 0.9443).

Its total energy is -6.0854 eV/atom.

# 22
DFT (PBE) results for an optimized crystal structure of Ca5PmS6.

The space group is C2/m (No. 12) and the conventional cell measures 6.9872, 12.0989 and 6.9907 Å, with angles of 90.00, 109.48 and 90.00 degrees. The asymmetric unit holds Ca at (0.0000, 0.0000, 0.0000), Ca at (0.0000, 0.1667, 0.5000), Ca at (0.0000, 0.3327, 0.0000), Pm at (0.0000, 0.5000, 0.5000), S at (0.2493, 0.5000, 0.2501) and S at (0.2505, 0.1663, 0.2503).

Its total energy is -5.4056 eV/atom.